Entry 1:
This record from Alexandria via LeMat-Bulk describes crystalline Ce3ZrN at its relaxed geometry. The functional is PBE.

```
data_Ce3ZrN
_cell_length_a 4.878
_cell_length_b 4.878
_cell_length_c 4.878
_cell_angle_alpha 90.00
_cell_angle_beta 90.00
_cell_angle_gamma 90.00
_symmetry_space_group_name_H-M 'P m -3 m'
_symmetry_Int_Tables_number 221
_symmetry_space_group_name_Hall '-P 4 2 3'
loop_
_atom_site_label
_atom_site_fract_x
_atom_site_fract_y
_atom_site_fract_z
_atom_site_occupancy
Ce1 0.000 0.000 0.500 1
Zr1 0.500 0.500 0.500 1
N1 0.000 0.000 0.000 1
```

=====

Entry 2:
This record from Alexandria via LeMat-Bulk describes crystalline BiSbPd4 at its relaxed geometry. The functional is PBE.

```
data_BiSbPd4
_cell_length_a 4.600
_cell_length_b 13.989
_cell_length_c 7.448
_cell_angle_alpha 90.00
_cell_angle_beta 90.00
_cell_angle_gamma 90.00
_symmetry_space_group_name_H-M 'C m c m'
_symmetry_Int_Tables_number 63
_symmetry_space_group_name_Hall '-C 2c 2'
loop_
_atom_site_label
_atom_site_fract_x
_atom_site_fract_y
_atom_site_fract_z
_atom_site_occupancy
Bi1 0.000 0.116 0.250 1
Sb1 0.000 0.350 0.250 1
Pd1 0.000 0.075 0.750 1
Pd2 0.000 0.286 0.574 1
Pd3 0.000 0.500 0.000 1
```

=====

The records above give, respectively, formation energy without anion corrections values of -0.4983; -0.1640 eV per atom.
The records above give, respectively, calculated volume values of 23.2; 20.0 Å³/atom.
The records above give, respectively, magnetization values of 0.0; 0.0 μB/f.u..